1.
5
Lattice="4.848 0.000 0.000 0.000 4.848 0.000 0.000 0.000 3.566" Properties=species:S:1:pos:R:3 comment="LiFeBi2H (GGA-PBE, relaxed)" final_energy_ev_per_atom=-3.864 dos_ef_per_ev_cell=6.44 space_group="P4/mmm (123)" pbc="T T T"
Li 0.000 0.000 0.000
Fe 2.424 2.424 0.000
Bi 0.000 2.424 1.783
Bi 2.424 0.000 1.783
H 0.000 0.000 1.783

2.
5
Lattice="4.397 0.000 0.000 0.000 4.397 0.000 0.000 0.000 4.931" Properties=species:S:1:pos:R:3 comment="FeNi2BiH (GGA-PBE, relaxed)" final_energy_ev_per_atom=-4.152 dos_ef_per_ev_cell=4.87 space_group="P4/mmm (123)" pbc="T T T"
Fe 0.000 0.000 0.000
Ni 0.000 2.198 0.000
Ni 2.198 0.000 0.000
Bi 0.000 0.000 2.466
H 2.198 2.198 2.466

3.
5
Lattice="5.378 0.000 0.000 0.000 5.378 0.000 0.000 0.000 3.500" Properties=species:S:1:pos:R:3 comment="FeReBi2H (GGA-PBE, relaxed)" final_energy_ev_per_atom=-5.431 dos_ef_per_ev_cell=6.75 space_group="P4/mmm (123)" pbc="T T T"
Fe 0.000 0.000 0.000
Re 2.689 2.689 1.750
Bi 0.000 2.689 1.750
Bi 2.689 0.000 1.750
H 2.689 2.689 0.000

4.
16
Lattice="5.542 0.000 0.000 0.000 5.542 0.000 0.000 0.000 14.229" Properties=species:S:1:pos:R:3 comment="Hf2FeBi (GGA-PBE, relaxed)" final_energy_ev_per_atom=-7.237 dos_ef_per_ev_cell=16.07 space_group="I-42d (122)" pbc="T T T"
Hf 0.828 1.385 1.779
Hf 1.385 3.599 5.336
Hf 1.385 4.714 12.450
Hf 1.943 1.385 8.893
Hf 3.599 4.156 8.893
Hf 4.156 0.828 12.450
Hf 4.156 1.943 5.336
Hf 4.714 4.156 1.779
Fe 0.000 0.000 0.000
Fe 0.000 2.771 3.557
Fe 2.771 0.000 10.671
Fe 2.771 2.771 7.114
Bi 0.000 0.000 7.114
Bi 0.000 2.771 10.671
Bi 2.771 0.000 3.557
Bi 2.771 2.771 0.000

5.
14
Lattice="4.759 0.000 0.000 0.000 4.759 0.000 0.000 0.000 15.280" Properties=species:S:1:pos:R:3 comment="Hf4FeBi2 (GGA-PBE, relaxed)" final_energy_ev_per_atom=-7.986 dos_ef_per_ev_cell=7.16 space_group="I4/mmm (139)" pbc="T T T"
Hf 0.000 0.000 2.362
Hf 0.000 0.000 12.918
Hf 0.000 2.380 0.000
Hf 0.000 2.380 7.640
Hf 2.380 0.000 0.000
Hf 2.380 0.000 7.640
Hf 2.380 2.380 5.278
Hf 2.380 2.380 10.002
Fe 0.000 0.000 0.000
Fe 2.380 2.380 7.640
Bi 0.000 0.000 5.429
Bi 0.000 0.000 9.851
Bi 2.380 2.380 2.211
Bi 2.380 2.380 13.069

6.
5
Lattice="5.604 0.000 0.000 0.000 5.604 0.000 0.000 0.000 5.604" Properties=species:S:1:pos:R:3 comment="HfFeBi3 (GGA-PBE, relaxed)" final_energy_ev_per_atom=-5.061 dos_ef_per_ev_cell=8.77 space_group="Pm-3m (221)" pbc="T T T"
Hf 0.000 0.000 0.000
Fe 2.802 2.802 2.802
Bi 0.000 0.000 2.802
Bi 0.000 2.802 0.000
Bi 2.802 0.000 0.000

7.
16
Lattice="7.034 0.000 0.000 0.000 7.034 0.000 0.000 0.000 7.034" Properties=species:S:1:pos:R:3 comment="HfFeBi2 (GGA-PBE, relaxed)" final_energy_ev_per_atom=-5.999 dos_ef_per_ev_cell=28.49 space_group="Fm-3m (225)" pbc="T T T"
Hf 0.000 0.000 0.000
Hf 0.000 3.517 3.517
Hf 3.517 0.000 3.517
Hf 3.517 3.517 0.000
Fe 0.000 0.000 3.517
Fe 0.000 3.517 0.000
Fe 3.517 0.000 0.000
Fe 3.517 3.517 3.517
Bi 1.758 1.758 1.758
Bi 1.758 1.758 5.275
Bi 1.758 5.275 1.758
Bi 1.758 5.275 5.275
Bi 5.275 1.758 1.758
Bi 5.275 1.758 5.275
Bi 5.275 5.275 1.758
Bi 5.275 5.275 5.275

8.
5
Lattice="5.153 0.000 0.000 0.000 5.153 0.000 0.000 0.000 5.153" Properties=species:S:1:pos:R:3 comment="HfFeBi3 (GGA-PBE, relaxed)" final_energy_ev_per_atom=-5.280 dos_ef_per_ev_cell=7.20 space_group="Pm-3m (221)" pbc="T T T"
Hf 0.000 0.000 0.000
Fe 2.576 2.576 2.576
Bi 0.000 2.576 2.576
Bi 2.576 0.000 2.576
Bi 2.576 2.576 0.000

For each record above, in turn, the calculated magnetization values are 0.0 4.4 3.1 0.0 0.0 3.3 0.0 2.7 μB/cell.